Record 1
# Pm3Sm2YTe6

An optimized crystal structure of Pm3Sm2YTe6 (PBE, Alexandria).

Properties
N(E_F), states/eV per cell: 6.484
V, Å³/atom: 31.01
Total DFT energy (no corrections), eV/cell: -65.62
Uncorrected formation energy, eV/atom: -1.3844

a b c (Å): 9.9249 9.9249 8.9327
angles (deg): 102.85 102.85 25.74
Closest atoms and distances in Å follow each position.
Positions (direct):
Pm 0.0000 0.0000 0.0000  6 Te 3.13-3.18
Pm 0.3307 0.3307 0.6670  6 Te 3.14-3.19
Pm 0.6693 0.6693 0.3330  6 Te 3.14-3.19
Sm 0.3319 0.3319 0.1651  6 Te 3.12-3.17
Sm 0.6681 0.6681 0.8349  6 Te 3.12-3.17
Y 0.0000 0.0000 0.5000  6 Te 3.08-3.10
Te 0.1633 0.1633 0.5825  1 Y 3.08, 2 Sm 3.14, 3 Pm 3.15-3.16
Te 0.1663 0.1663 0.0817  3 Sm 3.12-3.13, 3 Pm 3.13-3.14
Te 0.5002 0.5002 0.2562  2 Y 3.10, 1 Sm 3.17, 3 Pm 3.18-3.19
Te 0.4998 0.4998 0.7438  2 Y 3.10, 1 Sm 3.17, 3 Pm 3.18-3.19
Te 0.8337 0.8337 0.9183  3 Sm 3.12-3.13, 3 Pm 3.13-3.14
Te 0.8367 0.8367 0.4175  1 Y 3.08, 2 Sm 3.14, 3 Pm 3.15-3.16

Record 2
# PmSm4Y3Te8

An optimized crystal structure of PmSm4Y3Te8 (PBE, Alexandria).

Properties
N(E_F), states/eV per cell: 12.184
V, Å³/atom: 30.51
Total DFT energy (no corrections), eV/cell: -89.83
Uncorrected formation energy, eV/atom: -1.3547

a b c (Å): 8.8498 8.8498 8.8498
angles (deg): 59.83 59.83 59.83
Closest atoms and distances in Å follow each position.
Positions (direct):
Pm 0.0000 0.0000 0.0000  6 Te 3.13
Sm 0.0000 0.0000 0.5000  6 Te 3.15
Sm 0.0000 0.5000 0.0000  6 Te 3.15
Sm 0.5000 0.0000 0.0000  6 Te 3.15
Sm 0.5000 0.5000 0.5000  6 Te 3.12
Y 0.0000 0.5000 0.5000  6 Te 3.10
Y 0.5000 0.0000 0.5000  6 Te 3.10
Y 0.5000 0.5000 0.0000  6 Te 3.10
Te 0.2506 0.2506 0.7446  2 Y 3.10, 3 Sm 3.12-3.15, 1 Pm 3.13
Te 0.2506 0.7446 0.2506  2 Y 3.10, 3 Sm 3.12-3.15, 1 Pm 3.13
Te 0.2524 0.2524 0.2524  3 Y 3.10, 3 Sm 3.15
Te 0.2554 0.7494 0.7494  2 Y 3.10, 3 Sm 3.12-3.15, 1 Pm 3.13
Te 0.7446 0.2506 0.2506  2 Y 3.10, 3 Sm 3.12-3.15, 1 Pm 3.13
Te 0.7476 0.7476 0.7476  3 Y 3.10, 3 Sm 3.15
Te 0.7494 0.2554 0.7494  2 Y 3.10, 3 Sm 3.12-3.15, 1 Pm 3.13
Te 0.7494 0.7494 0.2554  2 Y 3.10, 3 Sm 3.12-3.15, 1 Pm 3.13

Record 3
# Pm3Sm3YTe8

An optimized crystal structure of Pm3Sm3YTe8 (PBE, Alexandria).

Properties
N(E_F), states/eV per cell: 7.246
V, Å³/atom: 32.93
Total DFT energy (no corrections), eV/cell: -81.58
Uncorrected formation energy, eV/atom: -1.4382

a b c (Å): 8.8755 8.8755 8.8755
angles (deg): 59.96 59.96 59.96
Closest atoms and distances in Å follow each position.
Positions (direct):
Pm 0.0000 0.5000 0.5000  6 Te 3.14
Pm 0.5000 0.0000 0.5000  6 Te 3.14
Pm 0.5000 0.5000 0.0000  6 Te 3.14
Sm 0.0000 0.0000 0.5000  6 Te 3.13
Sm 0.0000 0.5000 0.0000  6 Te 3.13
Sm 0.5000 0.0000 0.0000  6 Te 3.13
Y 0.5000 0.5000 0.5000  6 Te 3.16
Te 0.2472 0.7516 0.7516  2 Sm 3.13, 2 Pm 3.14, 1 Y 3.16
Te 0.2484 0.2484 0.7528  2 Sm 3.13, 2 Pm 3.14, 1 Y 3.16
Te 0.2484 0.7528 0.2484  2 Sm 3.13, 2 Pm 3.14, 1 Y 3.16
Te 0.2494 0.2494 0.2494  3 Sm 3.13, 3 Pm 3.14
Te 0.7506 0.7506 0.7506  3 Sm 3.13, 3 Pm 3.14
Te 0.7516 0.2472 0.7516  2 Sm 3.13, 2 Pm 3.14, 1 Y 3.16
Te 0.7516 0.7516 0.2472  2 Sm 3.13, 2 Pm 3.14, 1 Y 3.16
Te 0.7528 0.2484 0.2484  2 Sm 3.13, 2 Pm 3.14, 1 Y 3.16